Entry 1:
# PmY4Ag PBE-GGA optimized geometry
data_PmY4Ag
_space_group_name_H-M_alt 'P 1'
_space_group_IT_number 1
_space_group_name_Hall 'P 1'
_cell_length_a 5.466
_cell_length_b 6.515
_cell_length_c 10.902
_cell_angle_alpha 90.00
_cell_angle_beta 104.52
_cell_angle_gamma 90.00
loop_
_atom_site_label
_atom_site_fract_x
_atom_site_fract_y
_atom_site_fract_z
Ag1 0.602 0.966 0.204
Y1 0.535 0.371 0.069
Pm1 0.865 0.717 0.730
Y2 0.933 0.213 0.867
Pm2 0.135 0.217 0.270
Y3 0.465 0.871 0.931
Y4 0.742 0.089 0.483
Y5 0.067 0.713 0.133
Y6 0.324 0.077 0.649
Y7 0.676 0.577 0.351
Ag2 0.398 0.466 0.796
Y8 0.258 0.589 0.517
# ΔE to the lowest computed polymorph	132	meV/atom

Entry 2:
# Pm2YAg PBE-GGA optimized geometry
data_Pm2YAg
_space_group_name_H-M_alt 'P 1'
_space_group_IT_number 1
_space_group_name_Hall 'P 1'
_cell_length_a 3.497
_cell_length_b 3.497
_cell_length_c 12.036
_cell_angle_alpha 81.65
_cell_angle_beta 81.65
_cell_angle_gamma 60.00
loop_
_atom_site_label
_atom_site_fract_x
_atom_site_fract_y
_atom_site_fract_z
Ag1 0.000 0.000 0.000
Y1 0.500 0.500 0.500
Pm1 0.915 0.915 0.255
Pm2 0.085 0.085 0.745
# ΔE to the lowest computed polymorph	378	meV/atom

Entry 3:
# Pm2YAg PBE-GGA optimized geometry
data_Pm2YAg
_space_group_name_H-M_alt 'P 1'
_space_group_IT_number 1
_space_group_name_Hall 'P 1'
_cell_length_a 3.653
_cell_length_b 3.653
_cell_length_c 10.799
_cell_angle_alpha 80.26
_cell_angle_beta 80.26
_cell_angle_gamma 60.00
loop_
_atom_site_label
_atom_site_fract_x
_atom_site_fract_y
_atom_site_fract_z
Pm1 0.258 0.258 0.226
Ag1 0.667 0.667 0.999
Pm2 0.075 0.075 0.774
Y1 0.500 0.500 0.501
# ΔE to the lowest computed polymorph	120	meV/atom

Entry 4:
A relaxed Pm4YAg5 crystal, computed with PBE-GGA.

Geometry as CIF:
```
data_Pm4YAg5
_space_group_name_H-M_alt 'P 1'
_space_group_IT_number 1
_space_group_name_Hall 'P 1'
_cell_length_a 3.683
_cell_length_b 3.683
_cell_length_c 18.886
_cell_angle_alpha 90.00
_cell_angle_beta 90.00
_cell_angle_gamma 90.00
loop_
_atom_site_label
_atom_site_fract_x
_atom_site_fract_y
_atom_site_fract_z
Pm1 0.000 0.000 0.399
Ag1 0.500 0.500 0.906
Y1 0.000 0.000 0.000
Ag2 0.500 0.500 0.702
Pm2 0.000 0.000 0.197
Pm3 0.000 0.000 0.803
Ag3 0.500 0.500 0.298
Ag4 0.500 0.500 0.500
Pm4 0.000 0.000 0.601
Ag5 0.500 0.500 0.094
```

Entry 5:
# PmY4Ag PBE-GGA optimized geometry
data_PmY4Ag
_space_group_name_H-M_alt 'P 1'
_space_group_IT_number 1
_space_group_name_Hall 'P 1'
_cell_length_a 3.595
_cell_length_b 3.595
_cell_length_c 13.998
_cell_angle_alpha 90.00
_cell_angle_beta 90.00
_cell_angle_gamma 90.00
loop_
_atom_site_label
_atom_site_fract_x
_atom_site_fract_y
_atom_site_fract_z
Y1 0.500 0.500 0.818
Y2 0.500 0.500 0.182
Ag1 0.500 0.500 0.500
Y3 0.000 0.000 0.634
Y4 0.000 0.000 0.366
Pm1 0.000 0.000 0.000
# ΔE to the lowest computed polymorph	0	meV/atom

Entry 6:
# PmYAg PBE-GGA optimized geometry
data_PmYAg
_space_group_name_H-M_alt 'P 1'
_space_group_IT_number 1
_space_group_name_Hall 'P 1'
_cell_length_a 3.637
_cell_length_b 3.637
_cell_length_c 6.900
_cell_angle_alpha 105.28
_cell_angle_beta 105.28
_cell_angle_gamma 90.00
loop_
_atom_site_label
_atom_site_fract_x
_atom_site_fract_y
_atom_site_fract_z
Pm1 0.318 0.318 0.636
Y1 0.021 0.021 0.042
Ag1 0.661 0.661 0.322
# ΔE to the lowest computed polymorph	15	meV/atom

Entry 7:
A relaxed Pm3Y12Ag5 crystal, computed with PBE-GGA.

Geometry as CIF:
```
data_Pm3Y12Ag5
_space_group_name_H-M_alt 'P 1'
_space_group_IT_number 1
_space_group_name_Hall 'P 1'
_cell_length_a 15.507
_cell_length_b 15.507
_cell_length_c 15.507
_cell_angle_alpha 109.47
_cell_angle_beta 109.47
_cell_angle_gamma 109.47
loop_
_atom_site_label
_atom_site_fract_x
_atom_site_fract_y
_atom_site_fract_z
Y1 0.096 0.172 0.214
Y2 0.618 0.576 0.904
Ag1 0.000 0.000 0.000
Ag2 0.500 0.000 0.000
Y3 0.328 0.786 0.404
Y4 0.118 0.714 0.542
Pm1 0.625 0.375 0.750
Y5 0.172 0.076 0.958
Y6 0.924 0.096 0.882
Y7 0.424 0.042 0.328
Ag3 0.125 0.750 0.375
Y8 0.042 0.424 0.828
Y9 0.118 0.404 0.076
Y10 0.904 0.076 0.618
Y11 0.618 0.042 0.214
Ag4 0.875 0.625 0.750
Ag5 0.250 0.875 0.125
Ag6 0.125 0.375 0.250
Y12 0.214 0.542 0.618
Pm2 0.125 0.250 0.875
Y13 0.424 0.382 0.596
Y14 0.576 0.618 0.404
Pm3 0.125 0.875 0.750
Y15 0.076 0.172 0.458
Ag7 0.375 0.125 0.750
Pm4 0.750 0.875 0.625
Y16 0.958 0.382 0.286
Y17 0.404 0.286 0.328
Pm5 0.875 0.125 0.250
Y18 0.596 0.882 0.424
Y19 0.828 0.904 0.286
Y20 0.286 0.404 0.828
Y21 0.596 0.714 0.672
Y22 0.904 0.828 0.786
Y23 0.828 0.924 0.042
Y24 0.382 0.424 0.096
Y25 0.172 0.096 0.714
Ag8 0.250 0.375 0.625
Pm6 0.750 0.375 0.125
Ag9 0.750 0.125 0.875
Y26 0.958 0.576 0.172
Y27 0.714 0.118 0.042
Y28 0.672 0.214 0.596
Ag10 0.000 0.500 0.500
Y29 0.042 0.618 0.714
Y30 0.286 0.882 0.958
Y31 0.458 0.672 0.076
Y32 0.542 0.214 0.118
Pm7 0.375 0.750 0.625
Y33 0.576 0.958 0.672
Y34 0.458 0.786 0.882
Pm8 0.250 0.125 0.375
Y35 0.672 0.458 0.576
Pm9 0.375 0.625 0.250
Y36 0.924 0.828 0.542
Ag11 0.875 0.250 0.625
Pm10 0.875 0.750 0.125
Ag12 0.750 0.625 0.375
Ag13 0.625 0.875 0.250
Y37 0.328 0.542 0.424
Y38 0.096 0.924 0.382
Y39 0.542 0.328 0.924
Y40 0.382 0.958 0.786
Y41 0.882 0.286 0.458
Ag14 0.000 0.500 0.000
Y42 0.882 0.596 0.924
Y43 0.404 0.118 0.576
Ag15 0.375 0.250 0.125
Y44 0.076 0.904 0.118
Ag16 0.500 0.500 0.000
Ag17 0.000 0.000 0.500
Pm11 0.250 0.625 0.875
Ag18 0.500 0.500 0.500
Y45 0.714 0.596 0.172
Y46 0.786 0.458 0.382
Pm12 0.625 0.250 0.375
Y47 0.214 0.672 0.096
Ag19 0.625 0.750 0.875
Ag20 0.500 0.000 0.500
Y48 0.786 0.328 0.904
```

Entry 8:
A relaxed PmYAg6 crystal, computed with PBE-GGA.

Geometry as CIF:
```
data_PmYAg6
_space_group_name_H-M_alt 'P 1'
_space_group_IT_number 1
_space_group_name_Hall 'P 1'
_cell_length_a 4.612
_cell_length_b 5.171
_cell_length_c 8.315
_cell_angle_alpha 82.27
_cell_angle_beta 73.90
_cell_angle_gamma 63.52
loop_
_atom_site_label
_atom_site_fract_x
_atom_site_fract_y
_atom_site_fract_z
Y1 0.000 0.000 0.000
Ag1 0.503 0.243 0.752
Pm1 0.000 0.500 0.500
Ag2 0.497 0.757 0.248
Ag3 0.252 0.375 0.120
Ag4 0.748 0.625 0.880
Ag5 0.751 0.129 0.370
Ag6 0.249 0.871 0.630
```

Entry 9:
# Pm2YAg PBE-GGA optimized geometry
data_Pm2YAg
_space_group_name_H-M_alt 'P 1'
_space_group_IT_number 1
_space_group_name_Hall 'P 1'
_cell_length_a 3.779
_cell_length_b 6.510
_cell_length_c 10.107
_cell_angle_alpha 90.00
_cell_angle_beta 90.00
_cell_angle_gamma 106.86
loop_
_atom_site_label
_atom_site_fract_x
_atom_site_fract_y
_atom_site_fract_z
Y1 0.557 0.113 0.750
Pm1 0.868 0.736 0.548
Ag1 0.255 0.512 0.750
Y2 0.443 0.887 0.250
Pm2 0.132 0.264 0.452
Pm3 0.868 0.736 0.952
Ag2 0.745 0.488 0.250
Pm4 0.132 0.264 0.048
# ΔE to the lowest computed polymorph	0	meV/atom

Entry 10:
# PmYAg PBE-GGA optimized geometry
data_PmYAg
_space_group_name_H-M_alt 'P 1'
_space_group_IT_number 1
_space_group_name_Hall 'P 1'
_cell_length_a 5.184
_cell_length_b 9.297
_cell_length_c 7.015
_cell_angle_alpha 90.00
_cell_angle_beta 90.00
_cell_angle_gamma 90.00
loop_
_atom_site_label
_atom_site_fract_x
_atom_site_fract_y
_atom_site_fract_z
Pm1 0.250 0.081 0.844
Ag1 0.250 0.402 0.773
Pm2 0.750 0.919 0.156
Ag2 0.750 0.902 0.727
Y1 0.250 0.687 0.988
Y2 0.250 0.813 0.488
Pm3 0.750 0.581 0.656
Pm4 0.250 0.419 0.344
Ag3 0.250 0.098 0.273
Ag4 0.750 0.598 0.227
Y3 0.750 0.187 0.512
Y4 0.750 0.313 0.012
# ΔE to the lowest computed polymorph	0	meV/atom

Entry 11:
A relaxed Pm5YAg4 crystal, computed with PBE-GGA.

Geometry as CIF:
```
data_Pm5YAg4
_space_group_name_H-M_alt 'P 1'
_space_group_IT_number 1
_space_group_name_Hall 'P 1'
_cell_length_a 3.702
_cell_length_b 3.702
_cell_length_c 20.078
_cell_angle_alpha 90.00
_cell_angle_beta 90.00
_cell_angle_gamma 90.00
loop_
_atom_site_label
_atom_site_fract_x
_atom_site_fract_y
_atom_site_fract_z
Ag1 0.000 0.000 0.594
Ag2 0.000 0.000 0.783
Pm1 0.500 0.500 0.876
Pm2 0.500 0.500 0.689
Ag3 0.000 0.000 0.217
Pm3 0.500 0.500 0.500
Y1 0.000 0.000 0.000
Ag4 0.000 0.000 0.406
Pm4 0.500 0.500 0.124
Pm5 0.500 0.500 0.311
```

Entry 12:
# PmYAg PBE-GGA optimized geometry
data_PmYAg
_space_group_name_H-M_alt 'P 1'
_space_group_IT_number 1
_space_group_name_Hall 'P 1'
_cell_length_a 4.823
_cell_length_b 4.823
_cell_length_c 7.556
_cell_angle_alpha 90.00
_cell_angle_beta 90.00
_cell_angle_gamma 90.00
loop_
_atom_site_label
_atom_site_fract_x
_atom_site_fract_y
_atom_site_fract_z
Pm1 0.500 0.000 0.127
Pm2 0.000 0.500 0.873
Ag1 0.500 0.000 0.742
Y1 0.000 0.000 0.500
Y2 0.500 0.500 0.500
Ag2 0.000 0.500 0.258
# ΔE to the lowest computed polymorph	71	meV/atom

Entry 13:
A relaxed Pm5YAg6 crystal, computed with PBE-GGA.

Geometry as CIF:
```
data_Pm5YAg6
_space_group_name_H-M_alt 'P 1'
_space_group_IT_number 1
_space_group_name_Hall 'P 1'
_cell_length_a 5.282
_cell_length_b 7.357
_cell_length_c 8.379
_cell_angle_alpha 90.00
_cell_angle_beta 71.24
_cell_angle_gamma 90.00
loop_
_atom_site_label
_atom_site_fract_x
_atom_site_fract_y
_atom_site_fract_z
Y1 0.000 0.000 0.000
Ag1 0.836 0.753 0.328
Ag2 0.164 0.753 0.672
Pm1 0.334 0.000 0.332
Ag3 0.500 0.244 0.000
Ag4 0.500 0.756 0.000
Ag5 0.836 0.247 0.328
Pm2 0.666 0.000 0.668
Ag6 0.164 0.247 0.672
Pm3 0.333 0.500 0.335
Pm4 0.000 0.500 0.000
Pm5 0.667 0.500 0.665
```

Entry 14:
A relaxed PmY2Ag4 crystal, computed with PBE-GGA.

Geometry as CIF:
```
data_PmY2Ag4
_space_group_name_H-M_alt 'P 1'
_space_group_IT_number 1
_space_group_name_Hall 'P 1'
_cell_length_a 6.253
_cell_length_b 6.253
_cell_length_c 6.253
_cell_angle_alpha 111.36
_cell_angle_beta 108.54
_cell_angle_gamma 108.54
loop_
_atom_site_label
_atom_site_fract_x
_atom_site_fract_y
_atom_site_fract_z
Y1 0.500 0.000 0.500
Ag1 0.000 0.000 0.500
Pm1 0.000 0.000 0.000
Y2 0.500 0.500 0.000
Ag2 0.500 0.000 0.000
Ag3 0.500 0.500 0.500
Ag4 0.000 0.500 0.000
```

Entry 15:
A relaxed Pm2Y2Ag crystal, computed with PBE-GGA.

Geometry as CIF:
```
data_Pm2Y2Ag
_space_group_name_H-M_alt 'P 1'
_space_group_IT_number 1
_space_group_name_Hall 'P 1'
_cell_length_a 3.615
_cell_length_b 3.615
_cell_length_c 11.777
_cell_angle_alpha 98.83
_cell_angle_beta 98.83
_cell_angle_gamma 90.00
loop_
_atom_site_label
_atom_site_fract_x
_atom_site_fract_y
_atom_site_fract_z
Ag1 0.000 0.000 0.000
Pm1 0.806 0.806 0.613
Y1 0.419 0.419 0.838
Pm2 0.194 0.194 0.387
Y2 0.581 0.581 0.162
```

Entry 16:
A relaxed Pm2YAg4 crystal, computed with PBE-GGA.

Geometry as CIF:
```
data_Pm2YAg4
_space_group_name_H-M_alt 'P 1'
_space_group_IT_number 1
_space_group_name_Hall 'P 1'
_cell_length_a 5.377
_cell_length_b 5.377
_cell_length_c 7.476
_cell_angle_alpha 111.08
_cell_angle_beta 111.08
_cell_angle_gamma 90.00
loop_
_atom_site_label
_atom_site_fract_x
_atom_site_fract_y
_atom_site_fract_z
Ag1 0.616 0.116 0.232
Pm1 0.720 0.720 0.441
Ag2 0.884 0.384 0.768
Ag3 0.384 0.884 0.768
Ag4 0.116 0.616 0.232
Pm2 0.280 0.280 0.559
Y1 0.000 0.000 0.000
```

Entry 17:
# Pm3Y2Ag2 PBE-GGA optimized geometry
data_Pm3Y2Ag2
_space_group_name_H-M_alt 'P 1'
_space_group_IT_number 1
_space_group_name_Hall 'P 1'
_cell_length_a 4.860
_cell_length_b 3.477
_cell_length_c 11.989
_cell_angle_alpha 90.00
_cell_angle_beta 78.31
_cell_angle_gamma 90.00
loop_
_atom_site_label
_atom_site_fract_x
_atom_site_fract_y
_atom_site_fract_z
Pm1 0.138 0.000 0.724
Ag1 0.570 0.500 0.860
Pm2 0.000 0.000 0.000
Ag2 0.430 0.500 0.140
Pm3 0.862 0.000 0.276
Y1 0.292 0.500 0.415
Y2 0.708 0.500 0.585
# ΔE to the lowest computed polymorph	178	meV/atom

Entry 18:
# Pm3YAg2 PBE-GGA optimized geometry
data_Pm3YAg2
_space_group_name_H-M_alt 'P 1'
_space_group_IT_number 1
_space_group_name_Hall 'P 1'
_cell_length_a 5.203
_cell_length_b 7.063
_cell_length_c 9.341
_cell_angle_alpha 90.00
_cell_angle_beta 90.00
_cell_angle_gamma 90.00
loop_
_atom_site_label
_atom_site_fract_x
_atom_site_fract_y
_atom_site_fract_z
Y1 0.500 0.511 0.561
Pm1 0.000 0.843 0.668
Pm2 0.500 0.156 0.831
Pm3 0.500 0.656 0.169
Pm4 0.000 0.490 0.935
Ag1 0.000 0.769 0.351
Ag2 0.000 0.269 0.649
Pm5 0.000 0.343 0.332
Ag3 0.500 0.730 0.845
Pm6 0.000 0.990 0.065
Y2 0.500 0.011 0.439
Ag4 0.500 0.230 0.155
# ΔE to the lowest computed polymorph	0	meV/atom

Entry 19:
A relaxed PmY2Ag3 crystal, computed with PBE-GGA.

Geometry as CIF:
```
data_PmY2Ag3
_space_group_name_H-M_alt 'P 1'
_space_group_IT_number 1
_space_group_name_Hall 'P 1'
_cell_length_a 3.652
_cell_length_b 3.652
_cell_length_c 11.142
_cell_angle_alpha 90.00
_cell_angle_beta 90.00
_cell_angle_gamma 90.00
loop_
_atom_site_label
_atom_site_fract_x
_atom_site_fract_y
_atom_site_fract_z
Ag1 0.000 0.000 0.676
Ag2 0.000 0.000 0.324
Y1 0.500 0.500 0.164
Ag3 0.000 0.000 0.000
Pm1 0.500 0.500 0.500
Y2 0.500 0.500 0.836
```

Entry 20:
# Pm3Y2Ag2 PBE-GGA optimized geometry
data_Pm3Y2Ag2
_space_group_name_H-M_alt 'P 1'
_space_group_IT_number 1
_space_group_name_Hall 'P 1'
_cell_length_a 3.794
_cell_length_b 6.763
_cell_length_c 9.311
_cell_angle_alpha 114.05
_cell_angle_beta 90.00
_cell_angle_gamma 106.29
loop_
_atom_site_label
_atom_site_fract_x
_atom_site_fract_y
_atom_site_fract_z
Pm1 0.500 0.000 0.000
Ag1 0.174 0.349 0.223
Ag2 0.826 0.651 0.777
Pm2 0.390 0.779 0.555
Pm3 0.610 0.221 0.445
Y1 0.148 0.296 0.813
Y2 0.852 0.704 0.187
# ΔE to the lowest computed polymorph	0	meV/atom

no.,magnetic moment (μB per formula unit),DFT formation energy (eV per atom),raw total energy (eV/f.u.)
1,0.0,0.05,-33.16
2,0.0,0.26,-17.79
3,0.0,0.00,-18.82
4,0.0,-0.28,-42.56
5,0.0,-0.08,-33.95
6,0.5,-0.17,-14.57
7,0.0,0.46,-96.89
8,0.0,-0.20,-29.92
9,0.0,-0.12,-19.30
10,0.0,-0.18,-14.62
11,0.0,-0.21,-43.69
12,0.0,-0.11,-14.41
13,0.0,-0.28,-50.68
14,0.0,-0.08,-29.66
15,0.0,-0.11,-25.81
16,0.0,-0.11,-28.16
17,0.0,0.05,-32.52
18,0.0,-0.17,-27.44
19,0.0,-0.31,-28.11
20,0.0,-0.13,-33.77